A plane-wave DFT calculation with GGA-PBE was carried out for ZnCoMoPt after structural relaxation.

Calculated volume = 14.22 Å³/atom
Energy = -6.202 eV per atom
Formation enthalpy at 0 K = 0.1168 eV/atom

a = 6.104 Å, b = 6.104 Å, c = 6.104 Å
α = 90.00°, β = 90.00°, γ = 90.00°
Space group F-43m (No. 216)
One atom of each set of equivalent atoms:
Zn 0.000 0.000 0.000 [4 per cell]
Co 0.250 0.250 0.250 [4 per cell]
Mo 0.250 0.250 0.750 [4 per cell]
Pt 0.000 0.000 0.500 [4 per cell]